w:
A plane-wave DFT calculation with PBE was carried out for a relaxed structure of AcPuGe.

The spin magnetization is 7.0 μB per formula unit. The calculation puts the density of states at the Fermi level at 3.573 states/eV per atom.

It has space group F-43m (No. 216), with a = 7.340 Å, b = 7.340 Å, c = 7.340 Å, α = 90.00°, β = 90.00° and γ = 90.00°. The asymmetric unit holds Ac at (0.000, 0.000, 0.000), Pu at (0.000, 0.000, 0.500) and Ge at (0.250, 0.250, 0.750).


x:
A plane-wave DFT calculation with PBE was carried out for a relaxed structure of AcPuGe.

The spin magnetization is 0.1 μB per formula unit. The calculation puts the density of states at the Fermi level at 1.606 states/eV per atom.

It has space group P4/nmm (No. 129, origin choice 2), with a = 3.706 Å, b = 3.706 Å, c = 11.685 Å, α = 90.00°, β = 90.00° and γ = 90.00°. The asymmetric unit holds Ac at (0.250, 0.250, 0.165), Pu at (0.250, 0.750, 0.500) and Ge at (0.250, 0.250, 0.691).


Most stable: w


w:
A plane-wave DFT calculation with PBE was carried out for a relaxed structure of Ac7Ge2Rh2.

The spin magnetization is 0.0 μB per formula unit. The calculation puts the density of states at the Fermi level at 0.993 states/eV per atom.

It has space group Imm2 (No. 44), with a = 4.465 Å, b = 16.229 Å, c = 10.035 Å, α = 90.00°, β = 90.00° and γ = 90.00°. The asymmetric unit holds Ac at (0.000, 0.000, 0.000), Ac at (0.000, 0.109, 0.384), Ac at (0.000, 0.314, 0.607), Ac at (0.000, 0.378, 0.216), Ge at (0.000, 0.239, 0.901), Rh at (0.000, 0.000, 0.650) and Rh at (0.000, 0.500, 0.699).


x:
A plane-wave DFT calculation with PBE was carried out for a relaxed structure of Ac7Ge2Rh2.

The spin magnetization is 0.0 μB per formula unit. The calculation puts the density of states at the Fermi level at 0.526 states/eV per atom.

It has space group Cmmm (No. 65), with a = 9.210 Å, b = 11.436 Å, c = 7.561 Å, α = 90.00°, β = 90.00° and γ = 90.00°. The asymmetric unit holds Ac at (0.000, 0.000, 0.000), Ac at (0.000, 0.500, 0.230), Ac at (0.250, 0.250, 0.258), Ge at (0.233, 0.000, 0.500) and Rh at (0.000, 0.264, 0.000).


Most stable: w


w:
A plane-wave DFT calculation with PBE was carried out for a relaxed structure of AcGe2Rh3.

The spin magnetization is 0.0 μB per formula unit. The calculation puts the density of states at the Fermi level at 0.351 states/eV per atom.

It has space group C2/m (No. 12), with a = 15.342 Å, b = 4.237 Å, c = 7.803 Å, α = 90.00°, β = 114.84° and γ = 90.00°. The asymmetric unit holds Ac at (0.159, 0.000, 0.085), Ge at (0.016, 0.500, 0.183), Ge at (0.174, 0.000, 0.632), Rh at (0.025, 0.000, 0.346), Rh at (0.113, 0.500, 0.712) and Rh at (0.180, 0.500, 0.433).


x:
A plane-wave DFT calculation with PBE was carried out for a relaxed structure of AcGe2Rh3.

The spin magnetization is 0.0 μB per formula unit. The calculation puts the density of states at the Fermi level at 0.581 states/eV per atom.

It has space group C2/m (No. 12), with a = 16.730 Å, b = 4.148 Å, c = 10.093 Å, α = 90.00°, β = 107.09° and γ = 90.00°. The asymmetric unit holds Ac at (0.000, 0.000, 0.000), Ac at (0.162, 0.000, 0.703), Ge at (0.031, 0.500, 0.769), Ge at (0.140, 0.500, 0.448), Ge at (0.195, 0.000, 0.124), Rh at (0.000, 0.500, 0.500), Rh at (0.045, 0.000, 0.336), Rh at (0.124, 0.500, 0.201), Rh at (0.176, 0.500, 0.959) and Rh at (0.217, 0.000, 0.394).


Most stable: x


w:
A plane-wave DFT calculation with PBE was carried out for a relaxed structure of Ac3GeRh.

The spin magnetization is 0.0 μB per formula unit. The calculation puts the density of states at the Fermi level at 0.562 states/eV per atom.

It has space group Pm-3m (No. 221), with a = 5.682 Å, b = 5.682 Å, c = 5.682 Å, α = 90.00°, β = 90.00° and γ = 90.00°. The asymmetric unit holds Ac at (0.000, 0.000, 0.500), Ge at (0.500, 0.500, 0.500) and Rh at (0.000, 0.000, 0.000).


x:
A plane-wave DFT calculation with PBE was carried out for a relaxed structure of Ac3GeRh.

The spin magnetization is 0.0 μB per formula unit. The calculation puts the density of states at the Fermi level at 0.699 states/eV per atom.

It has space group P2_1/m (No. 11), with a = 8.633 Å, b = 4.477 Å, c = 8.696 Å, α = 90.00°, β = 102.61° and γ = 90.00°. The asymmetric unit holds Ac at (0.079, 0.250, 0.269), Ac at (0.315, 0.250, 0.952), Ac at (0.342, 0.750, 0.593), Ge at (0.384, 0.750, 0.229) and Rh at (0.096, 0.250, 0.615).


y:
A plane-wave DFT calculation with PBE was carried out for a relaxed structure of Ac3GeRh.

The spin magnetization is 0.0 μB per formula unit. The calculation puts the density of states at the Fermi level at 0.662 states/eV per atom.

It has space group Pnma (No. 62), with a = 12.237 Å, b = 4.304 Å, c = 12.509 Å, α = 90.00°, β = 90.00° and γ = 90.00°. The asymmetric unit holds Ac at (0.058, 0.250, 0.124), Ac at (0.127, 0.750, 0.553), Ac at (0.212, 0.250, 0.813), Ge at (0.015, 0.750, 0.321) and Rh at (0.170, 0.750, 0.981).


Most stable: x


w:
A plane-wave DFT calculation with PBE was carried out for a relaxed structure of Ac4Ge2Rh.

The spin magnetization is 0.0 μB per formula unit. The calculation puts the density of states at the Fermi level at 0.722 states/eV per atom.

It has space group I4/mmm (No. 139), with a = 5.464 Å, b = 5.464 Å, c = 16.826 Å, α = 90.00°, β = 90.00° and γ = 90.00°. The asymmetric unit holds Ac at (0.000, 0.000, 0.185), Ac at (0.000, 0.500, 0.000), Ge at (0.000, 0.000, 0.370) and Rh at (0.000, 0.000, 0.000).


x:
A plane-wave DFT calculation with PBE was carried out for a relaxed structure of Ac4Ge2Rh.

The spin magnetization is 0.0 μB per formula unit. The calculation puts the density of states at the Fermi level at 0.573 states/eV per atom.

It has space group C2/m (No. 12), with a = 15.944 Å, b = 4.553 Å, c = 7.895 Å, α = 90.00°, β = 118.05° and γ = 90.00°. The asymmetric unit holds Ac at (0.119, 0.000, 0.431), Ac at (0.128, 0.500, 0.987), Ge at (0.231, 0.500, 0.723) and Rh at (0.000, 0.000, 0.000).


y:
A plane-wave DFT calculation with PBE was carried out for a relaxed structure of Ac4Ge2Rh.

The spin magnetization is 0.0 μB per formula unit. The calculation puts the density of states at the Fermi level at 0.837 states/eV per atom.

It has space group C2/m (No. 12), with a = 12.399 Å, b = 4.712 Å, c = 9.192 Å, α = 90.00°, β = 123.60° and γ = 90.00°. The asymmetric unit holds Ac at (0.084, 0.000, 0.367), Ac at (0.180, 0.500, 0.077), Ge at (0.121, 0.500, 0.645) and Rh at (0.000, 0.000, 0.000).


Most stable: y


w:
A plane-wave DFT calculation with PBE was carried out for a relaxed structure of AcGe3Rh2.

The spin magnetization is 0.0 μB per formula unit. The calculation puts the density of states at the Fermi level at 0.629 states/eV per atom.

It has space group Fd-3m (No. 227, origin choice 2), with a = 12.802 Å, b = 12.802 Å, c = 12.802 Å, α = 90.00°, β = 90.00° and γ = 90.00°. The asymmetric unit holds Ac at (0.000, 0.000, 0.000), Ge at (0.076, 0.375, 0.875) and Rh at (0.003, 0.003, 0.747).


x:
A plane-wave DFT calculation with PBE was carried out for a relaxed structure of AcGe3Rh2.

The spin magnetization is 0.0 μB per formula unit. The calculation puts the density of states at the Fermi level at 0.509 states/eV per atom.

It has space group Cmcm (No. 63), with a = 10.256 Å, b = 8.002 Å, c = 5.698 Å, α = 90.00°, β = 90.00° and γ = 90.00°. The asymmetric unit holds Ac at (0.000, 0.166, 0.250), Ge at (0.000, 0.442, 0.750), Ge at (0.182, 0.218, 0.750) and Rh at (0.213, 0.500, 0.000).


Most stable: x


w:
A plane-wave DFT calculation with PBE was carried out for a relaxed structure of Ac2Ge3Rh2.

The spin magnetization is 0.0 μB per formula unit. The calculation puts the density of states at the Fermi level at 0.689 states/eV per atom.

It has space group Cmcm (No. 63), with a = 4.480 Å, b = 19.210 Å, c = 7.237 Å, α = 90.00°, β = 90.00° and γ = 90.00°. The asymmetric unit holds Ac at (0.000, 0.057, 0.250), Ac at (0.000, 0.162, 0.750), Ge at (0.000, 0.221, 0.250), Ge at (0.000, 0.437, 0.069) and Rh at (0.000, 0.305, 0.548).


x:
A plane-wave DFT calculation with PBE was carried out for a relaxed structure of Ac2Ge3Rh2.

The spin magnetization is 0.0 μB per formula unit. The calculation puts the density of states at the Fermi level at 0.549 states/eV per atom.

It has space group C2/m (No. 12), with a = 11.204 Å, b = 4.202 Å, c = 7.506 Å, α = 90.00°, β = 119.05° and γ = 90.00°. The asymmetric unit holds Ac at (0.139, 0.000, 0.269), Ge at (0.000, 0.500, 0.500), Ge at (0.142, 0.500, 0.935) and Rh at (0.134, 0.000, 0.717).


Most stable: w


w:
A plane-wave DFT calculation with PBE was carried out for a relaxed structure of AcSmGeRh.

The spin magnetization is 0.0 μB per formula unit. The calculation puts the density of states at the Fermi level at 0.790 states/eV per atom.

It has space group P4/nmm (No. 129, origin choice 2), with a = 4.776 Å, b = 4.776 Å, c = 10.293 Å, α = 90.00°, β = 90.00° and γ = 90.00°. The asymmetric unit holds Ac at (0.250, 0.250, 0.175), Sm at (0.250, 0.750, 0.500), Ge at (0.250, 0.250, 0.877) and Rh at (0.250, 0.250, 0.647).


x:
A plane-wave DFT calculation with PBE was carried out for a relaxed structure of AcSmGeRh.

The spin magnetization is 0.0 μB per formula unit. The calculation puts the density of states at the Fermi level at 0.857 states/eV per atom.

It has space group F-43m (No. 216), with a = 7.412 Å, b = 7.412 Å, c = 7.412 Å, α = 90.00°, β = 90.00° and γ = 90.00°. The asymmetric unit holds Ac at (0.000, 0.000, 0.000), Sm at (0.000, 0.000, 0.500), Ge at (0.250, 0.250, 0.250) and Rh at (0.250, 0.250, 0.750).


Most stable: w


w:
A plane-wave DFT calculation with PBE was carried out for a relaxed structure of SrAcGeRh.

The spin magnetization is 0.0 μB per formula unit. The calculation puts the density of states at the Fermi level at 0.882 states/eV per atom.

It has space group F-43m (No. 216), with a = 7.556 Å, b = 7.556 Å, c = 7.556 Å, α = 90.00°, β = 90.00° and γ = 90.00°. The asymmetric unit holds Sr at (0.000, 0.000, 0.000), Ac at (0.000, 0.000, 0.500), Ge at (0.250, 0.250, 0.750) and Rh at (0.250, 0.250, 0.250).


x:
A plane-wave DFT calculation with PBE was carried out for a relaxed structure of SrAcGeRh.

The spin magnetization is 0.0 μB per formula unit. The calculation puts the density of states at the Fermi level at 0.886 states/eV per atom.

It has space group R3m (No. 160, hexagonal axes), with a = 4.3761 Å, b = 4.3761 Å, c = 24.0977 Å, α = 90.00°, β = 90.00° and γ = 120.00°. The asymmetric unit holds Sr at (0.0000, 0.0000, 0.0000), Ac at (0.0000, 0.0000, 0.8323), Ge at (0.0000, 0.0000, 0.5855) and Rh at (0.0000, 0.0000, 0.2381).


Most stable: x


w:
A plane-wave DFT calculation with PBE was carried out for a relaxed structure of Ac3GeRu.

The spin magnetization is 0.0 μB per formula unit. The calculation puts the density of states at the Fermi level at 0.922 states/eV per atom.

It has space group Pm-3m (No. 221), with a = 5.620 Å, b = 5.620 Å, c = 5.620 Å, α = 90.00°, β = 90.00° and γ = 90.00°. The asymmetric unit holds Ac at (0.000, 0.000, 0.500), Ge at (0.500, 0.500, 0.500) and Ru at (0.000, 0.000, 0.000).


x:
A plane-wave DFT calculation with PBE was carried out for a relaxed structure of Ac3GeRu.

The spin magnetization is 0.0 μB per formula unit. The calculation puts the density of states at the Fermi level at 0.700 states/eV per atom.

It has space group Cmcm (No. 63), with a = 5.580 Å, b = 22.350 Å, c = 5.582 Å, α = 90.00°, β = 90.00° and γ = 90.00°. The asymmetric unit holds Ac at (0.000, 0.077, 0.250), Ac at (0.000, 0.299, 0.750), Ac at (0.000, 0.421, 0.250), Ge at (0.000, 0.160, 0.750) and Ru at (0.000, 0.438, 0.750).


Most stable: x